An optimized crystal structure of Eu2InHg. Source: the Alexandria database, functional PBE.

Cell: 3.910 3.910 7.895 Å, 90.00 90.00 90.00°
Atoms (fractional coordinates):
1 Eu 0.000 0.000 0.246
2 Eu 0.000 0.000 0.754
3 In 0.500 0.500 0.500
4 Hg 0.500 0.500 0.000

## Properties
- Energy above the lowest structure with this stoichiometry: 0.0 kJ/mol of atoms
- Formation energy from the elements: -0.509 eV per atom
- Symmetry: No. 123


An optimized crystal structure of Y3ErGa. Source: the Alexandria database, functional PBE.

Cell: 7.423 7.423 7.719 Å, 121.18 121.18 74.11°
Atoms (fractional coordinates):
1 Y 0.054 0.054 0.328
2 Y 0.089 0.473 0.247
3 Y 0.473 0.089 0.247
4 Y 0.527 0.911 0.753
5 Y 0.911 0.527 0.753
6 Y 0.946 0.946 0.672
7 Er 0.433 0.433 0.733
8 Er 0.567 0.567 0.267
9 Ga 0.256 0.256 0.885
10 Ga 0.744 0.744 0.115

## Properties
- Formation energy from the elements: -0.096 eV per atom
- Symmetry: No. 12


An optimized crystal structure of YRe2. Source: the Alexandria database, functional PBE.

Cell: 5.425 5.425 5.425 Å, 60.00 60.00 60.00°
Atoms (fractional coordinates):
1 Y 0.125 0.125 0.125
2 Y 0.875 0.875 0.875
3 Re 0.000 0.500 0.500
4 Re 0.500 0.000 0.500
5 Re 0.500 0.500 0.000
6 Re 0.500 0.500 0.500

## Properties
- Formation energy from the elements: -0.190 eV per atom
- Symmetry: No. 227


An optimized crystal structure of CsSn3Ge. Source: the Alexandria database, functional PBE.

Cell: 5.041 5.041 7.500 Å, 109.41 109.41 89.92°
Atoms (fractional coordinates):
1 Cs 0.000 0.000 0.000
2 Sn 0.243 0.742 0.483
3 Sn 0.373 0.373 0.749
4 Sn 0.742 0.243 0.483
5 Ge 0.630 0.630 0.255

## Properties
- Energy above the lowest structure with this stoichiometry: 0.0 kJ/mol of atoms
- Formation energy from the elements: -0.112 eV per atom
- Symmetry: No. 8


An optimized crystal structure of Ac2Cu4Ge3Sb. Source: the Alexandria database, functional PBE.

Cell: 4.434 4.434 10.381 Å, 90.00 90.00 90.00°
Atoms (fractional coordinates):
1 Ac 0.000 0.500 0.233
2 Ac 0.500 0.000 0.767
3 Cu 0.000 0.000 0.000
4 Cu 0.000 0.500 0.640
5 Cu 0.500 0.000 0.360
6 Cu 0.500 0.500 0.000
7 Ge 0.000 0.500 0.878
8 Ge 0.500 0.000 0.122
9 Ge 0.500 0.500 0.500
10 Sb 0.000 0.000 0.500

## Properties
- Symmetry: No. 115
- E_form (uncorrected): -0.48 eV per atom


An optimized crystal structure of BaGa2H2. Source: the Alexandria database, functional PBE.

Cell: 4.557 4.557 4.936 Å, 90.00 90.00 120.00°
Atoms (fractional coordinates):
1 Ba 0.000 0.000 0.000
2 Ga 0.333 0.667 0.470
3 Ga 0.667 0.333 0.530
4 H 0.333 0.667 0.125
5 H 0.667 0.333 0.875

## Properties
- Symmetry: No. 164
- Total energy: -16.92 eV per cell


An optimized crystal structure of KSnB. Source: the Alexandria database, functional PBE.

Cell: 3.209 6.116 7.765 Å, 82.84 89.95 89.96°
Atoms (fractional coordinates):
1 K 0.000 0.000 0.000
2 K 0.000 0.150 0.492
3 Sn 0.500 0.544 0.785
4 Sn 0.500 0.677 0.362
5 B 0.263 0.455 0.124
6 B 0.753 0.455 0.125

## Properties
- Formation energy from the elements: 0.134 eV per atom
- Symmetry: No. 1


An optimized crystal structure of Be2ZnSbCl. Source: the Alexandria database, functional PBE.

Cell: 4.333 4.333 4.980 Å, 90.00 90.00 90.00°
Atoms (fractional coordinates):
1 Be 0.000 0.500 0.000
2 Be 0.500 0.000 0.000
3 Zn 0.000 0.000 0.500
4 Sb 0.500 0.500 0.500
5 Cl 0.000 0.000 0.000

## Properties
- Symmetry: No. 123
- E_form (uncorrected): 0.83 eV per atom


Number 1: ρ 8.52 g/cm³. Number 2: ρ 5.37 g/cm³. Number 3: ρ 13.57 g/cm³. Number 4: ρ 5.54 g/cm³. Number 5: ρ 8.53 g/cm³. Number 6: ρ 5.21 g/cm³. Number 7: ρ 3.70 g/cm³. Number 8: ρ 4.27 g/cm³.